A relaxed structure of Rb2BeGaPt. Source: Alexandria via LeMat-Bulk, functional PBE.

Final energy in Ry/atom: -0.1911
Energy relative to the elements in meV per atom: 346
Size of the total moment in μB per formula unit: 0.00

a = 6.5286 Å, b = 4.2959 Å, c = 6.5286 Å
α = 90.00°, β = 90.00°, γ = 90.00°
Atoms (fractional coordinates):
Be 0.0000 0.5000 0.0000
Ga 0.5000 0.5000 0.5000
Rb 0.0000 0.0000 0.5000
Rb 0.5000 0.0000 0.0000
Pt 0.0000 0.0000 0.0000